[1]
This record from OQMD via LeMat-Bulk describes a relaxed structure of WSNCl5. The functional is PBE.

abc: 6.0897 9.3062 16.4555
angles: 90.00 109.01 90.00
Fractional positions:
Cl: 0.4459 0.5819 0.1467
Cl: 0.9403 0.5080 0.6652
Cl: 0.8147 0.7203 0.0128
Cl: 0.5541 0.4181 0.8533
Cl: 0.2650 0.5604 0.5428
Cl: 0.8147 0.7797 0.5128
Cl: 0.1853 0.2797 0.9872
Cl: 0.9403 0.9920 0.1652
Cl: 0.7350 0.4396 0.4572
Cl: 0.7350 0.0604 0.9572
Cl: 0.2650 0.9396 0.0428
Cl: 0.5541 0.0819 0.3533
Cl: 0.8628 0.1665 0.6105
Cl: 0.8628 0.3335 0.1105
Cl: 0.1372 0.6665 0.8895
Cl: 0.1853 0.2203 0.4872
Cl: 0.0597 0.0080 0.8348
Cl: 0.4459 0.9181 0.6467
Cl: 0.1372 0.8335 0.3895
Cl: 0.0597 0.4920 0.3348
N: 0.6454 0.8121 0.8212
N: 0.3546 0.3121 0.6788
N: 0.3546 0.1879 0.1788
N: 0.6454 0.6879 0.3212
S: 0.4191 0.7155 0.2427
S: 0.5809 0.2845 0.7573
S: 0.5809 0.2155 0.2573
S: 0.4191 0.7845 0.7427
W: 0.0968 0.1499 0.0911
W: 0.9032 0.8501 0.9089
W: 0.0968 0.3501 0.5911
W: 0.9032 0.6499 0.4089

Results
The total energy is -4.914 eV/atom. The calculation puts the total magnetic moment at 0.00 μB per cell. The space-group type is P2_1/c (14).

[2]
This record from OQMD via LeMat-Bulk describes a relaxed structure of Zn2SiN4Cl. The functional is PBE.

abc: 6.1380 6.1380 6.1380
angles: 138.98 138.98 59.41
Fractional positions:
Zn: 0.5000 0.5000 0.0000
Zn: 0.7500 0.2500 0.5000
Si: 0.2500 0.7500 0.5000
Cl: 0.0000 0.0000 0.0000
N: 0.4245 0.1857 0.9707
N: 0.8143 0.7850 0.2388
N: 0.2150 0.4538 0.0293
N: 0.5462 0.5755 0.7612

Results
The total energy is -5.244 eV/atom. The space-group type is I-4 (82).

[3]
This record from OQMD via LeMat-Bulk describes a relaxed structure of TbSmNCl3. The functional is PBE.

abc: 8.3242 8.3242 10.7112
angles: 119.82 119.82 27.13
Fractional positions:
N: 0.4222 0.4222 0.3413
N: 0.5778 0.5778 0.6587
Cl: 0.9555 0.9555 0.7588
Cl: 0.3346 0.3346 0.9879
Cl: 0.0445 0.0445 0.2412
Cl: 0.6654 0.6654 0.0121
Cl: 0.7738 0.7738 0.3821
Cl: 0.2262 0.2262 0.6179
Sm: 0.5875 0.5875 0.4521
Sm: 0.4125 0.4125 0.5479
Tb: 0.1384 0.1384 0.7931
Tb: 0.8616 0.8616 0.2069

Results
The value obtained for the energy relative to the lowest polymorph listed for this composition is 18 meV per atom. The calculation puts the total magnetic moment at 0.00 μB per cell. The space-group type is C2/m (12).